A plane-wave DFT calculation with PBE was carried out for a relaxed NbAlCoOs crystal.

abc: 4.3290 4.3290 4.3290
angles: 60.00 60.00 60.00
Last column: nearest neighbours and their distance in Å.
Fractional coordinates of all 4 atoms:
Al 0.0000 0.0000 0.0000  4 Co 2.65, 4 Os 2.65
Nb 0.5000 0.5000 0.5000  4 Os 2.65, 4 Co 2.65
Co 0.7500 0.7500 0.7500  4 Nb 2.65, 4 Al 2.65
Os 0.2500 0.2500 0.2500  4 Nb 2.65, 4 Al 2.65

Results
SG	F-43m, No. 216
offset from the most stable computed form	0	meV/atom
ρ	10.683	g/cm³
uncorrected energy	-0.62024	Ry/atom